Density functional theory data (PBE-GGA) for a relaxed structure of SmAl2Te6.

a = 8.0222 Å, b = 9.4555 Å, c = 9.4555 Å
α = 65.07°, β = 72.72°, γ = 72.72°
With the nearest neighbours (Å) after each atom.
Positions (direct):
Sm (0.2500, 0.1773, 0.8227)  8 Te 3.17-3.37
Sm (0.7500, 0.8227, 0.1773)  8 Te 3.17-3.37
Al (0.2227, 0.6239, 0.7869)  4 Te 2.62-2.72
Al (0.2773, 0.2131, 0.3761)  4 Te 2.62-2.72
Al (0.7773, 0.3761, 0.2131)  4 Te 2.62-2.72
Al (0.7227, 0.7869, 0.6239)  4 Te 2.62-2.72
Te (0.4744, 0.7409, 0.5283)  2 Al 2.63-2.72
Te (0.0256, 0.4717, 0.2591)  2 Al 2.63-2.72
Te (0.5256, 0.2591, 0.4717)  2 Al 2.63-2.72
Te (0.9744, 0.5283, 0.7409)  2 Al 2.63-2.72
Te (0.9757, 0.8687, 0.3736)  1 Al 2.62
Te (0.5243, 0.6264, 0.1313)  1 Al 2.62
Te (0.0243, 0.1313, 0.6264)  1 Al 2.62
Te (0.4757, 0.3736, 0.8687)  1 Al 2.62
Te (0.1142, 0.8365, 0.9240)  1 Al 2.64
Te (0.3858, 0.0760, 0.1635)  1 Al 2.64
Te (0.8858, 0.1635, 0.0760)  1 Al 2.64
Te (0.6142, 0.9240, 0.8365)  1 Al 2.64

Results
The formation energy from raw total energies comes out at -0.51 eV per atom. The space-group type is C2/c (15).

***

Density functional theory data (PBE-GGA) for a relaxed structure of Al2VSe.

a = 7.3854 Å, b = 7.3854 Å, c = 5.9025 Å
α = 51.27°, β = 51.27°, γ = 90.00°
With the nearest neighbours (Å) after each atom.
Positions (direct):
Al (0.6401, 0.1250, 0.2500)  2 Se 2.63, 2 Al 2.76, 2 V 2.78
Al (0.1099, 0.6250, 0.2500)  2 Se 2.63, 2 Al 2.76, 2 V 2.78
Al (0.3750, 0.3599, 0.7500)  2 Se 2.63, 2 Al 2.76, 2 V 2.78
Al (0.8750, 0.8901, 0.7500)  2 Se 2.63, 2 Al 2.76, 2 V 2.78
Se (0.0000, 0.0000, 0.0000)  4 Al 2.63, 2 V 2.75
Se (0.7500, 0.2500, 0.5000)  4 Al 2.63, 2 V 2.75
V (0.5000, 0.5000, 0.0000)  2 Se 2.75, 4 Al 2.78
V (0.2500, 0.7500, 0.5000)  2 Se 2.75, 4 Al 2.78

Results
The formation energy from raw total energies comes out at 0.20 eV per atom. The space-group type is I-42d (122).

***

Density functional theory data (PBE-GGA) for a relaxed structure of Sc2ZnAgC.

a = 4.5659 Å, b = 4.5659 Å, c = 4.0124 Å
α = 90.00°, β = 90.00°, γ = 90.00°
With the nearest neighbours (Å) after each atom.
Positions (direct):
Sc (0.0000, 0.5000, 0.0000)  2 C 2.28
Sc (0.5000, 0.0000, 0.0000)  2 C 2.28
Zn (0.0000, 0.0000, 0.5000)  2 C 2.01
C (0.0000, 0.0000, 0.0000)  2 Zn 2.01
Ag (0.5000, 0.5000, 0.5000)  8 Sc 3.04, 4 Zn 3.23

Results
The space-group type is P4/mmm (123). The value obtained for the energy relative to the elements is -0.23 eV/atom. The offset from the most stable computed form is 0.000 eV/atom.

***

Density functional theory data (PBE-GGA) for a relaxed structure of NaRh2AuC.

a = 3.9977 Å, b = 4.6759 Å, c = 3.9977 Å
α = 90.00°, β = 90.00°, γ = 90.00°
With the nearest neighbours (Å) after each atom.
Positions (direct):
Rh (0.0000, 0.0000, 0.5000)  2 C 2.00
Rh (0.5000, 0.0000, 0.0000)  2 C 2.00
C (0.0000, 0.0000, 0.0000)  4 Rh 2.00
Au (0.5000, 0.5000, 0.5000)  4 Na 2.83, 8 Rh 3.08
Na (0.0000, 0.5000, 0.0000)  2 C 2.34

Results
The space-group type is P4/mmm (123). The value obtained for the energy relative to the elements is 0.18 eV/atom.

***

Density functional theory data (PBE-GGA) for a relaxed structure of CeY3Co2.

a = 3.7020 Å, b = 8.5568 Å, c = 9.8545 Å
α = 78.57°, β = 79.17°, γ = 77.51°
With the nearest neighbours (Å) after each atom.
Positions (direct):
Ce (0.8337, 0.5652, 0.7675)  2 Co 2.45
Ce (0.1663, 0.4348, 0.2325)  2 Co 2.45
Y (0.1549, 0.9384, 0.7517)  3 Co 2.73-2.93
Y (0.8451, 0.0616, 0.2483)  3 Co 2.73-2.93
Y (0.4204, 0.2187, 0.9404)  3 Co 2.87-3.10
Y (0.5796, 0.7813, 0.0596)  3 Co 2.87-3.10
Y (0.5830, 0.2798, 0.5542)  3 Co 2.79-3.00
Y (0.4170, 0.7202, 0.4458)  3 Co 2.79-3.00
Co (0.2400, 0.5914, 0.9287)  2 Ce 2.45, 2 Co 2.64
Co (0.7600, 0.4086, 0.0713)  2 Ce 2.45, 2 Co 2.64
Co (0.7656, 0.9223, 0.5466)  2 Co 2.35
Co (0.2344, 0.0777, 0.4534)  2 Co 2.35

Results
The space-group type is C2/m (12). The value obtained for the energy relative to the elements is -0.15 eV/atom.

***

Density functional theory data (PBE-GGA) for a relaxed structure of Nd6CdGa2.

a = 8.9249 Å, b = 8.9249 Å, c = 8.9249 Å
α = 105.71°, β = 111.45°, γ = 111.32°
With the nearest neighbours (Å) after each atom.
Positions (direct):
Nd (0.5442, 0.7239, 0.8203)  3 Ga 3.17-3.31, 1 Cd 3.32
Nd (0.4558, 0.2761, 0.1797)  3 Ga 3.17-3.31, 1 Cd 3.32
Nd (0.0963, 0.2761, 0.8203)  3 Ga 3.17-3.31, 1 Cd 3.32
Nd (0.9037, 0.7239, 0.1797)  3 Ga 3.17-3.31, 1 Cd 3.32
Nd (0.7975, 0.7558, 0.5533)  2 Ga 3.06-3.33, 2 Cd 3.33-3.43
Nd (0.2025, 0.2442, 0.4467)  2 Ga 3.06-3.33, 2 Cd 3.33-3.43
Nd (0.2025, 0.7558, 0.9584)  2 Ga 3.06-3.33, 2 Cd 3.33-3.43
Nd (0.7975, 0.2442, 0.0416)  2 Ga 3.06-3.33, 2 Cd 3.33-3.43
Nd (0.7079, 0.3850, 0.6771)  3 Ga 3.02-3.17
Nd (0.2921, 0.6150, 0.3229)  3 Ga 3.02-3.17
Nd (0.2921, 0.9692, 0.6771)  3 Ga 3.02-3.17
Nd (0.7079, 0.0308, 0.3229)  3 Ga 3.02-3.17
Cd (0.0000, 0.5000, 0.5000)  8 Nd 3.43-3.51
Cd (0.0000, 0.0000, 0.0000)  8 Nd 3.32-3.33, 2 Ga 3.60
Ga (0.5000, 0.3793, 0.8793)  1 Ga 2.60
Ga (0.5000, 0.6207, 0.1207)  1 Ga 2.60
Ga (0.6416, 0.0000, 0.6416)  1 Ga 2.85, 6 Nd 3.06-3.17
Ga (0.3584, 0.0000, 0.3584)  1 Ga 2.85, 6 Nd 3.06-3.17

Results
The space-group type is Immm (71). The value obtained for the energy relative to the elements is -0.32 eV/atom. The offset from the most stable computed form is 0.000 eV/atom.

***

Number 1: spin magnetization 0.00 μB/cell, mass density 5.292 Mg/m³, total energy -3.96 eV/atom. Number 2: spin magnetization 6.34 μB/cell, mass density 4.070 Mg/m³, total energy -4.82 eV/atom. Number 3: spin magnetization 0.00 μB/cell, mass density 5.463 Mg/m³, total energy -5.43 eV/atom. Number 4: spin magnetization 0.00 μB/cell, mass density 9.728 Mg/m³, total energy -5.52 eV/atom. Number 5: spin magnetization 0.00 μB/cell, mass density 5.901 Mg/m³, total energy -6.74 eV/atom. Number 6: spin magnetization 0.00 μB/cell, mass density 6.802 Mg/m³, total energy -4.27 eV/atom.